LiTbCdTe3 after structural relaxation. Source: the Open Quantum Materials Database, functional PBE.

The calculation puts the volume at 30.22 A^3/atom. The raw total energy comes out at -88.3 eV per cell.

The structure belongs to space group Pnma (No. 62); the cell edges are 9.117, 4.402 and 18.071 Å and the angles 90.00°, 90.00° and 90.00°. The asymmetric unit holds Li at (0.231, 0.250, 0.179), Tb at (0.220, 0.250, 0.963), Cd at (0.001, 0.250, 0.678), Te at (0.008, 0.250, 0.423), Te at (0.124, 0.750, 0.070) and Te at (0.201, 0.250, 0.790).